DFT (PBE) results for Tm12Fe5Bi after structural relaxation.

Lattice parameters (Å, degrees): 8.203 8.203 8.203 106.33 110.91 111.21
Fractional coordinates of all 18 atoms:
1 Fe 0.617 0.617 0.000
2 Tm 0.695 0.310 0.005
3 Tm 0.539 0.817 0.722
4 Fe 0.500 0.892 0.392
5 Tm 0.695 0.690 0.385
6 Tm 0.461 0.183 0.278
7 Tm 0.197 0.983 0.786
8 Tm 0.803 0.017 0.214
9 Tm 0.803 0.589 0.786
10 Tm 0.305 0.310 0.615
11 Tm 0.197 0.411 0.214
12 Fe 0.500 0.108 0.608
13 Tm 0.096 0.817 0.278
14 Tm 0.305 0.690 0.995
15 Bi 0.000 0.500 0.500
16 Fe 0.383 0.383 0.000
17 Tm 0.904 0.183 0.722
18 Fe 0.000 0.000 0.000

* magnetic moment: 2.3 μB per cell
* E_tot: -5.71 eV per atom
* formation energy from the elements: -0.16 eV per atom
* crystal system: orthorhombic
* D(E_F): 17.58 states/eV per cell